1.
# PBE-GGA Pm12CoRu6, optimized geometry
# crystal system: trigonal
# total energy: -6.393 eV/atom
# total moment: 0.0 μB per cell
# ΔE_f: -164 kJ/mol of formula units
data_Pm12CoRu6
_cell_length_a 8.211
_cell_length_b 8.211
_cell_length_c 8.211
_cell_angle_alpha 99.46
_cell_angle_beta 99.46
_cell_angle_gamma 99.46
_space_group_name_H-M_alt 'P 1'
_space_group_IT_number 1
_space_group_name_Hall 'P 1'
loop_
_atom_site_label
_atom_site_fract_x
_atom_site_fract_y
_atom_site_fract_z
Pm1 0.820 0.584 0.430
Pm2 0.430 0.820 0.584
Pm3 0.584 0.430 0.820
Pm4 0.180 0.416 0.570
Pm5 0.570 0.180 0.416
Pm6 0.416 0.570 0.180
Pm7 0.084 0.950 0.319
Pm8 0.050 0.681 0.916
Pm9 0.681 0.916 0.050
Pm10 0.916 0.050 0.681
Pm11 0.950 0.319 0.084
Pm12 0.319 0.084 0.950
Co1 0.000 0.000 0.000
Ru1 0.699 0.867 0.388
Ru2 0.612 0.301 0.133
Ru3 0.133 0.612 0.301
Ru4 0.301 0.133 0.612
Ru5 0.388 0.699 0.867
Ru6 0.867 0.388 0.699

2.
# PBE-GGA Tb4Y3Tm4, optimized geometry
# crystal system: monoclinic
# total energy: -5.050 eV/atom
# total moment: 0.0 μB per cell
# ΔE_f: 24 kJ/mol of formula units
data_Tb4Y3Tm4
_cell_length_a 3.536
_cell_length_b 4.997
_cell_length_c 19.707
_cell_angle_alpha 97.28
_cell_angle_beta 95.15
_cell_angle_gamma 89.98
_space_group_name_H-M_alt 'P 1'
_space_group_IT_number 1
_space_group_name_Hall 'P 1'
loop_
_atom_site_label
_atom_site_fract_x
_atom_site_fract_y
_atom_site_fract_z
Tb1 0.546 0.545 0.092
Tb2 0.454 0.455 0.908
Tb3 0.818 0.818 0.635
Tb4 0.182 0.182 0.365
Y1 0.637 0.636 0.273
Y2 0.363 0.364 0.727
Y3 0.000 0.000 0.000
Tm1 0.091 0.091 0.182
Tm2 0.272 0.272 0.545
Tm3 0.728 0.728 0.455
Tm4 0.909 0.909 0.818

3.
# PBE-GGA Hf2MgO, optimized geometry
# crystal system: trigonal
# total energy: -7.436 eV/atom
# raw formation energy: -821 meV per atom
# total moment: 0.0 μB per cell
data_Hf2MgO
_cell_length_a 3.023
_cell_length_b 3.023
_cell_length_c 9.222
_cell_angle_alpha 80.57
_cell_angle_beta 80.57
_cell_angle_gamma 60.00
_space_group_name_H-M_alt 'P 1'
_space_group_IT_number 1
_space_group_name_Hall 'P 1'
loop_
_atom_site_label
_atom_site_fract_x
_atom_site_fract_y
_atom_site_fract_z
Mg1 0.000 0.000 0.000
Hf1 0.110 0.110 0.670
Hf2 0.890 0.890 0.330
O1 0.500 0.500 0.500

4.
# PBE-GGA Tm8Si3AgTe4, optimized geometry
# crystal system: trigonal
# total energy: -5.163 eV/atom
# raw formation energy: -947 meV per atom
# total moment: 0.0 μB per cell
data_Tm8Si3AgTe4
_cell_length_a 8.367
_cell_length_b 8.498
_cell_length_c 8.367
_cell_angle_alpha 119.49
_cell_angle_beta 120.00
_cell_angle_gamma 90.00
_space_group_name_H-M_alt 'P 1'
_space_group_IT_number 1
_space_group_name_Hall 'P 1'
loop_
_atom_site_label
_atom_site_fract_x
_atom_site_fract_y
_atom_site_fract_z
Tm1 0.247 0.723 0.975
Tm2 0.248 0.723 0.495
Tm3 0.262 0.285 0.523
Tm4 0.728 0.723 0.975
Tm5 0.272 0.277 0.025
Tm6 0.738 0.715 0.477
Tm7 0.752 0.277 0.505
Tm8 0.753 0.277 0.025
Si1 0.500 0.500 0.000
Si2 0.500 0.500 0.500
Si3 0.000 0.500 0.500
Ag1 0.000 0.500 0.000
Te1 0.500 0.000 0.000
Te2 0.500 0.000 0.500
Te3 0.000 0.000 0.000
Te4 0.000 0.000 0.500

5.
# PBE-GGA LaSm8Sn6, optimized geometry
# crystal system: trigonal
# total energy: -5.020 eV/atom
# total moment: 0.0 μB per cell
# ΔE_f: -830 kJ/mol of formula units
data_LaSm8Sn6
_cell_length_a 9.295
_cell_length_b 9.295
_cell_length_c 8.478
_cell_angle_alpha 56.76
_cell_angle_beta 56.76
_cell_angle_gamma 60.00
_space_group_name_H-M_alt 'P 1'
_space_group_IT_number 1
_space_group_name_Hall 'P 1'
loop_
_atom_site_label
_atom_site_fract_x
_atom_site_fract_y
_atom_site_fract_z
La1 0.000 0.000 0.000
Sm1 0.567 0.225 0.314
Sm2 0.775 0.106 0.686
Sm3 0.106 0.433 0.686
Sm4 0.667 0.667 0.998
Sm5 0.333 0.333 0.002
Sm6 0.894 0.567 0.314
Sm7 0.225 0.894 0.314
Sm8 0.433 0.775 0.686
Sn1 0.408 0.067 0.796
Sn2 0.933 0.271 0.204
Sn3 0.271 0.592 0.204
Sn4 0.729 0.408 0.796
Sn5 0.067 0.729 0.796
Sn6 0.592 0.933 0.204

6.
# PBE-GGA LiAcDy2S4, optimized geometry
# crystal system: orthorhombic
# total energy: -5.832 eV/atom
# raw formation energy: -1865 meV per atom
# total moment: 0.0 μB per cell
data_LiAcDy2S4
_cell_length_a 3.955
_cell_length_b 6.926
_cell_length_c 13.530
_cell_angle_alpha 90.00
_cell_angle_beta 90.00
_cell_angle_gamma 106.59
_space_group_name_H-M_alt 'P 1'
_space_group_IT_number 1
_space_group_name_Hall 'P 1'
loop_
_atom_site_label
_atom_site_fract_x
_atom_site_fract_y
_atom_site_fract_z
Li1 0.851 0.703 0.750
Li2 0.149 0.297 0.250
Ac1 0.118 0.235 0.750
Ac2 0.882 0.765 0.250
Dy1 0.370 0.739 0.555
Dy2 0.630 0.261 0.055
Dy3 0.630 0.261 0.445
Dy4 0.370 0.739 0.945
S1 0.267 0.535 0.120
S2 0.733 0.465 0.620
S3 0.733 0.465 0.880
S4 0.267 0.535 0.380
S5 0.000 0.000 0.500
S6 0.000 0.000 0.000
S7 0.447 0.894 0.750
S8 0.553 0.106 0.250

7.
# PBE-GGA ZrSc2O, optimized geometry
# crystal system: trigonal
# total energy: -7.823 eV/atom
# raw formation energy: -1280 meV per atom
# total moment: 0.0 μB per cell
data_ZrSc2O
_cell_length_a 8.648
_cell_length_b 8.648
_cell_length_c 8.648
_cell_angle_alpha 20.98
_cell_angle_beta 20.98
_cell_angle_gamma 20.98
_space_group_name_H-M_alt 'P 1'
_space_group_IT_number 1
_space_group_name_Hall 'P 1'
loop_
_atom_site_label
_atom_site_fract_x
_atom_site_fract_y
_atom_site_fract_z
Sc1 0.882 0.882 0.882
Sc2 0.118 0.118 0.118
O1 0.500 0.500 0.500
Zr1 0.000 0.000 0.000

8.
# PBE-GGA NaAc2HfO6, optimized geometry
# crystal system: monoclinic
# total energy: -7.877 eV/atom
# raw formation energy: -2953 meV per atom
# total moment: 2.2 μB per cell
data_NaAc2HfO6
_cell_length_a 5.915
_cell_length_b 6.228
_cell_length_c 8.411
_cell_angle_alpha 90.00
_cell_angle_beta 88.68
_cell_angle_gamma 90.00
_space_group_name_H-M_alt 'P 1'
_space_group_IT_number 1
_space_group_name_Hall 'P 1'
loop_
_atom_site_label
_atom_site_fract_x
_atom_site_fract_y
_atom_site_fract_z
Na1 0.500 0.000 0.000
Na2 0.000 0.500 0.500
Ac1 0.016 0.939 0.256
Ac2 0.516 0.561 0.756
Ac3 0.984 0.061 0.744
Ac4 0.484 0.439 0.244
Hf1 0.500 0.000 0.500
Hf2 0.000 0.500 0.000
O1 0.292 0.672 0.048
O2 0.792 0.828 0.548
O3 0.708 0.328 0.952
O4 0.208 0.172 0.452
O5 0.331 0.719 0.429
O6 0.831 0.781 0.929
O7 0.669 0.281 0.571
O8 0.169 0.219 0.071
O9 0.884 0.558 0.232
O10 0.384 0.942 0.732
O11 0.116 0.442 0.768
O12 0.616 0.058 0.268

- What is the formula in the seventh record?
  ZrSc2O

- Look up the total energy of the eighth one.
  -7.877 eV/atom

- Among the records above, which one has the highest total energy?
  LaSm8Sn6

- What is the formula in the third record?
  Hf2MgO